#P
Pm2DyEr3 | GGA-PBE | relaxed

```
data_Pm2DyEr3
_cell_length_a 17.747
_cell_length_b 3.494
_cell_length_c 14.153
_cell_angle_alpha 90.00
_cell_angle_beta 117.32
_cell_angle_gamma 90.00
_space_group_name_H-M_alt 'C 1 2/m 1'
_space_group_IT_number 12
_space_group_name_Hall '-C 2y'
loop_
_atom_site_label
_atom_site_type_symbol
_atom_site_fract_x
_atom_site_fract_y
_atom_site_fract_z
Pm1 Pm 0.156 0.000 0.469
Pm2 Pm 0.180 0.500 0.881
Dy1 Dy 0.063 0.000 0.643
Er1 Er 0.039 0.500 0.210
Er2 Er 0.098 0.000 0.026
Er3 Er 0.237 0.000 0.292
```

The calculation puts the density of states at the Fermi level at 38.2 states/eV per cell.

#Q
Pm2DyEr3 | GGA-PBE | relaxed

```
data_Pm2DyEr3
_cell_length_a 11.951
_cell_length_b 5.661
_cell_length_c 11.973
_cell_angle_alpha 90.00
_cell_angle_beta 109.44
_cell_angle_gamma 90.00
_space_group_name_H-M_alt 'C 1 2/m 1'
_space_group_IT_number 12
_space_group_name_Hall '-C 2y'
loop_
_atom_site_label
_atom_site_type_symbol
_atom_site_fract_x
_atom_site_fract_y
_atom_site_fract_z
Pm1 Pm 0.125 0.000 0.124
Pm2 Pm 0.125 0.500 0.625
Dy1 Dy 0.166 0.500 0.333
Er1 Er 0.083 0.000 0.417
Er2 Er 0.083 0.500 0.917
Er3 Er 0.167 0.000 0.833
```

The calculation puts the density of states at the Fermi level at 35.9 states/eV per cell.

Energy above the most stable structure, in eV/atom: #P 0.046; #Q 0.000

#P
BC2 | GGA-PBE | relaxed

```
data_BC2
_cell_length_a 3.923
_cell_length_b 2.547
_cell_length_c 7.722
_cell_angle_alpha 90.00
_cell_angle_beta 90.86
_cell_angle_gamma 90.00
_space_group_name_H-M_alt 'P 1 m 1'
_space_group_IT_number 6
_space_group_name_Hall 'P -2y'
loop_
_atom_site_label
_atom_site_type_symbol
_atom_site_fract_x
_atom_site_fract_y
_atom_site_fract_z
B1 B 0.000 0.000 0.000
B2 B 0.075 0.000 0.304
B3 B 0.330 0.500 0.994
B4 B 0.750 0.000 0.520
C1 C 0.049 0.000 0.662
C2 C 0.276 0.500 0.664
C3 C 0.307 0.500 0.334
C4 C 0.509 0.500 0.497
C5 C 0.544 0.500 0.821
C6 C 0.547 0.500 0.173
C7 C 0.762 0.000 0.176
C8 C 0.770 0.000 0.817
```

The calculation puts the density of states at the Fermi level at 2.1 states/eV per cell.

#Q
BC2 | GGA-PBE | relaxed

```
data_BC2
_cell_length_a 3.731
_cell_length_b 2.593
_cell_length_c 8.088
_cell_angle_alpha 90.00
_cell_angle_beta 90.22
_cell_angle_gamma 90.00
_space_group_name_H-M_alt 'P 1 2/m 1'
_space_group_IT_number 10
_space_group_name_Hall '-P 2y'
loop_
_atom_site_label
_atom_site_type_symbol
_atom_site_fract_x
_atom_site_fract_y
_atom_site_fract_z
B1 B 0.121 0.000 0.257
B2 B 0.316 0.500 0.878
C1 C 0.116 0.000 0.925
C2 C 0.129 0.000 0.574
C3 C 0.369 0.500 0.579
C4 C 0.403 0.500 0.264
```

The calculation puts the density of states at the Fermi level at 3.4 states/eV per cell.

Energy above the most stable structure, in eV/atom: #P 0.043; #Q 0.000